1.
A plane-wave DFT calculation with PBE was carried out for RbCuPS4 after structural relaxation.

Summary:
- Total energy: -4.348 eV/atom
- Space-group type: I4/mcm, No. 140

Cell and atoms, written as POSCAR:
```
RbCuPS4
1.0
-4.125 4.125 6.045
4.125 -4.125 6.045
4.125 4.125 -6.045
Rb Cu P S
2 2 2 8
Cartesian
0.000 0.000 3.023 Rb
0.000 0.000 9.068 Rb
4.125 0.000 0.000 Cu
0.000 4.125 0.000 Cu
4.125 0.000 3.023 P
0.000 4.125 3.023 P
3.009 -1.116 1.702 S
5.241 -1.116 4.343 S
5.241 1.116 1.702 S
3.009 1.116 4.343 S
1.116 3.009 1.702 S
-1.116 3.009 4.343 S
-1.116 5.241 1.702 S
1.116 5.241 4.343 S
```

***

2.
A plane-wave DFT calculation with PBE was carried out for Rb4Cu2SbP after structural relaxation.

Summary:
- Total energy: -2.897 eV/atom
- Space-group type: Amm2, No. 38

Cell and atoms, written as POSCAR:
```
Rb4Cu2SbP
1.0
6.427 0.000 0.000
0.000 5.380 3.844
0.000 -5.380 3.844
Rb Cu Sb P
4 2 1 1
Cartesian
0.000 -3.648 3.844 Rb
0.000 3.648 3.844 Rb
3.214 -1.863 5.329 Rb
3.214 1.863 5.329 Rb
1.852 0.000 2.465 Cu
4.576 0.000 2.465 Cu
0.000 0.000 4.222 Sb
3.214 0.000 0.711 P
```

***

3.
A plane-wave DFT calculation with PBE was carried out for CuPS3 after structural relaxation.

Summary:
- Total energy: -4.447 eV/atom
- Space-group type: R-3, No. 148

Cell and atoms, written as POSCAR:
```
CuPS3
1.0
2.936 1.695 6.881
-2.936 1.695 6.881
0.000 -3.391 6.881
Cu P S
2 2 6
Cartesian
0.000 0.000 3.432 Cu
0.000 0.000 17.210 Cu
0.000 0.000 9.220 P
0.000 0.000 11.423 P
-0.991 -1.709 8.752 S
-1.976 0.003 11.890 S
-0.985 1.713 8.752 S
0.985 -1.713 11.890 S
1.976 -0.003 8.752 S
0.991 1.709 11.890 S
```

***

4.
A plane-wave DFT calculation with PBE was carried out for Cu3P2S8 after structural relaxation.

Summary:
- Total energy: -4.364 eV/atom
- Space-group type: P-3m1, No. 164

Cell and atoms, written as POSCAR:
```
Cu3P2S8
1.0
7.267 0.000 0.000
-3.633 6.293 0.000
0.000 0.000 6.676
Cu P S
3 2 8
Cartesian
-1.817 3.147 0.000 Cu
3.633 0.000 0.000 Cu
1.817 3.147 0.000 Cu
0.000 4.196 2.213 P
3.633 2.098 4.463 P
0.000 2.347 1.211 S
-1.601 5.120 1.211 S
0.000 4.196 4.157 S
2.033 1.173 5.465 S
1.601 5.120 1.211 S
3.633 2.098 2.519 S
5.234 1.173 5.465 S
3.633 3.946 5.465 S
```

***

5.
A plane-wave DFT calculation with PBE was carried out for TlCuPS3 after structural relaxation.

Summary:
- Total energy: -4.326 eV/atom
- Space-group type: P2_1/c, No. 14

Cell and atoms, written as POSCAR:
```
TlCuPS3
1.0
7.296 0.000 0.000
0.000 9.063 0.000
-7.066 0.000 8.293
Tl Cu P S
4 4 4 12
Cartesian
-0.388 0.182 2.174 Tl
-3.921 4.350 6.320 Tl
4.151 4.713 1.973 Tl
0.618 8.882 6.120 Tl
-2.177 1.509 6.121 Cu
1.356 3.022 1.974 Cu
-1.126 6.041 6.320 Cu
2.407 7.554 2.173 Cu
0.116 5.467 3.524 P
-3.416 8.128 7.671 P
3.647 0.936 0.622 P
0.114 3.596 4.769 P
0.014 4.804 1.608 S
-3.519 8.791 5.755 S
-1.532 6.528 4.145 S
-5.065 7.067 8.291 S
1.910 1.936 0.119 S
-1.622 2.596 4.266 S
1.853 6.467 4.028 S
-1.680 7.127 8.175 S
5.295 1.996 0.002 S
1.763 2.535 4.149 S
3.749 0.273 2.539 S
0.216 4.259 6.686 S
```

***

6.
A plane-wave DFT calculation with PBE was carried out for Cu3SbP after structural relaxation.

Summary:
- Total energy: -3.821 eV/atom
- Space-group type: Pm-3m, No. 221

Cell and atoms, written as POSCAR:
```
Cu3SbP
1.0
4.431 0.000 0.000
0.000 4.431 0.000
0.000 0.000 4.431
Cu Sb P
3 1 1
Cartesian
0.000 0.000 2.215 Cu
0.000 2.215 0.000 Cu
2.215 0.000 0.000 Cu
2.215 2.215 2.215 Sb
0.000 0.000 0.000 P
```

***

7.
A plane-wave DFT calculation with PBE was carried out for Sr2Cu2SbP after structural relaxation.

Summary:
- Total energy: -4.109 eV/atom
- Space-group type: P-6m2, No. 187

Cell and atoms, written as POSCAR:
```
Sr2Cu2SbP
1.0
4.339 0.000 0.000
-2.169 3.758 0.000
0.000 0.000 8.641
Sr Cu Sb P
2 2 1 1
Cartesian
0.000 0.000 2.037 Sr
0.000 0.000 6.604 Sr
0.000 2.505 4.320 Cu
2.169 1.253 0.000 Cu
2.169 1.253 4.320 Sb
0.000 2.505 0.000 P
```

***

8.
A plane-wave DFT calculation with PBE was carried out for Sc3Cu4P4 after structural relaxation.

Summary:
- Total energy: -5.812 eV/atom
- Space-group type: Immm, No. 71

Cell and atoms, written as POSCAR:
```
Sc3Cu4P4
1.0
-1.842 3.508 6.298
1.842 -3.508 6.298
1.842 3.508 -6.298
Sc Cu P
3 4 4
Cartesian
0.000 0.000 0.000 Sc
1.842 0.000 4.859 Sc
0.000 3.508 1.438 Sc
1.842 1.352 -2.225 Cu
1.842 1.352 2.225 Cu
0.000 2.156 4.073 Cu
0.000 2.156 8.523 Cu
0.000 0.000 2.849 P
1.842 1.969 0.000 P
0.000 1.539 6.298 P
0.000 0.000 9.746 P
```

***

9.
A plane-wave DFT calculation with PBE was carried out for Sc3Cu3P2 after structural relaxation.

Summary:
- Total energy: -5.091 eV/atom
- Space-group type: R-3m, No. 166

Cell and atoms, written as POSCAR:
```
Sc3Cu3P2
1.0
3.108 1.794 5.040
-3.108 1.794 5.040
0.000 -3.589 5.040
Sc Cu P
3 3 2
Cartesian
-1.554 -0.897 5.040 Sc
-1.554 0.897 10.079 Sc
0.000 1.794 5.040 Sc
0.000 0.000 1.139 Cu
0.000 0.000 7.559 Cu
0.000 0.000 13.980 Cu
0.000 0.000 3.302 P
0.000 0.000 11.817 P
```

***

10.
A plane-wave DFT calculation with PBE was carried out for CuP2Se after structural relaxation.

Summary:
- Total energy: -4.627 eV/atom
- Space-group type: Pbca, No. 61

Cell and atoms, written as POSCAR:
```
CuP2Se
1.0
5.631 0.000 0.000
0.000 6.525 0.000
0.000 0.000 16.764
Cu P Se
8 16 8
Cartesian
0.916 0.491 2.057 Cu
0.916 2.772 10.439 Cu
1.900 3.754 2.057 Cu
1.900 6.034 10.439 Cu
3.732 0.491 6.325 Cu
3.732 2.772 14.707 Cu
4.715 3.754 6.325 Cu
4.715 6.034 14.707 Cu
1.103 3.390 16.711 P
1.103 6.398 8.329 P
1.109 4.676 6.840 P
1.109 5.112 15.222 P
1.706 1.413 6.840 P
1.706 1.850 15.222 P
1.712 0.127 16.711 P
1.712 3.136 8.329 P
3.919 3.390 8.435 P
3.919 6.398 0.053 P
3.925 4.676 1.542 P
3.925 5.112 9.924 P
4.522 1.413 1.542 P
4.522 1.850 9.924 P
4.528 0.127 8.435 P
4.528 3.136 0.053 P
0.038 4.847 11.421 Se
0.038 4.941 3.039 Se
2.778 1.585 11.421 Se
2.778 1.678 3.039 Se
2.854 4.847 13.724 Se
2.854 4.941 5.342 Se
5.594 1.585 13.724 Se
5.594 1.678 5.342 Se
```

***

11.
A plane-wave DFT calculation with PBE was carried out for Cu4P4Se3 after structural relaxation.

Summary:
- Total energy: -4.386 eV/atom
- Space-group type: P2_1/c, No. 14

Cell and atoms, written as POSCAR:
```
Cu4P4Se3
1.0
16.454 0.000 0.000
0.000 6.536 0.000
-8.233 0.000 15.174
Cu P Se
32 32 24
Cartesian
-0.643 0.157 1.189 Cu
-4.760 3.111 8.776 Cu
12.981 3.425 6.398 Cu
8.864 6.379 13.985 Cu
-4.531 0.430 9.066 Cu
-0.414 2.838 1.479 Cu
-3.046 4.097 10.641 Cu
1.071 5.708 3.054 Cu
-0.879 4.218 8.373 Cu
3.237 5.587 0.786 Cu
0.798 0.957 6.852 Cu
-3.319 2.311 14.439 Cu
-1.086 0.814 12.097 Cu
3.030 2.454 4.510 Cu
0.434 3.547 13.811 Cu
4.550 6.258 6.224 Cu
4.680 3.581 6.288 Cu
0.563 6.224 13.875 Cu
7.658 0.313 1.299 Cu
3.541 2.955 8.886 Cu
3.670 0.279 8.950 Cu
7.787 2.989 1.363 Cu
5.190 4.082 10.664 Cu
9.307 5.722 3.077 Cu
11.540 4.226 0.735 Cu
7.423 5.579 8.322 Cu
4.983 0.950 14.388 Cu
9.100 2.318 6.801 Cu
7.150 0.829 12.120 Cu
11.266 2.440 4.533 Cu
8.635 3.699 13.695 Cu
12.752 6.106 6.108 Cu
-1.878 0.008 4.858 P
-5.995 3.261 12.445 P
-1.774 3.303 4.920 P
-5.891 6.501 12.507 P
-4.407 4.830 12.284 P
-0.291 4.975 4.697 P
-0.336 1.606 5.041 P
-4.453 1.662 12.628 P
0.322 4.811 10.167 P
4.438 4.993 2.580 P
0.291 1.545 10.482 P
4.408 1.723 2.895 P
5.940 3.324 2.619 P
1.823 6.481 10.206 P
5.940 0.076 2.772 P
1.823 3.192 10.359 P
6.397 3.345 4.815 P
2.281 6.460 12.402 P
6.398 0.056 4.968 P
2.281 3.213 12.555 P
3.813 4.814 12.279 P
7.930 4.991 4.692 P
3.782 1.543 12.594 P
7.899 1.725 5.007 P
12.674 4.874 2.546 P
8.557 4.931 10.133 P
8.511 1.562 10.477 P
12.628 1.706 2.890 P
14.112 0.035 2.667 P
9.995 3.233 10.255 P
14.216 3.276 2.729 P
10.099 6.529 10.316 P
0.920 4.825 0.734 Se
-3.196 4.980 8.321 Se
0.979 1.636 3.135 Se
-3.137 1.632 10.722 Se
3.355 1.512 0.917 Se
-0.762 1.756 8.504 Se
-3.411 4.773 14.297 Se
0.706 5.032 6.710 Se
-0.958 4.877 12.102 Se
3.159 4.927 4.515 Se
3.139 1.623 6.849 Se
-0.978 1.645 14.436 Se
9.199 4.891 0.738 Se
5.082 4.913 8.325 Se
5.062 1.609 10.659 Se
9.179 1.659 3.072 Se
7.515 1.504 8.464 Se
11.632 1.764 0.877 Se
8.983 4.780 6.670 Se
4.866 5.024 14.257 Se
11.358 4.904 4.452 Se
7.241 4.900 12.039 Se
11.417 1.557 6.853 Se
7.300 1.712 14.440 Se
```

***

12.
A plane-wave DFT calculation with PBE was carried out for Cu3P2Se8 after structural relaxation.

Summary:
- Total energy: -3.853 eV/atom
- Space-group type: P-3m1, No. 164

Cell and atoms, written as POSCAR:
```
Cu3P2Se8
1.0
7.162 0.000 0.000
-3.581 6.202 0.000
0.000 0.000 7.389
Cu P Se
3 2 8
Cartesian
-1.790 3.101 0.000 Cu
3.581 0.000 0.000 Cu
1.790 3.101 0.000 Cu
0.000 4.135 4.878 P
3.581 2.067 2.511 P
0.000 2.140 6.008 Se
-1.727 5.132 6.008 Se
0.000 4.135 2.772 Se
1.853 1.070 1.381 Se
1.727 5.132 6.008 Se
3.581 2.067 4.616 Se
5.308 1.070 1.381 Se
3.581 4.062 1.381 Se
```